# SrPaTaS6, optimized geometry, DFT PBE-GGA
# total DFT energy (no corrections) = -60.67 eV/f.u.
data_SrPaTaS6
_chemical_formula_sum 'Sr2 Pa2 Ta2 S12'
_cell_length_a 6.6450
_cell_length_b 6.6450
_cell_length_c 12.7918
_cell_angle_alpha 90.00
_cell_angle_beta 90.00
_cell_angle_gamma 120.00
_symmetry_space_group_name_H-M 'P -3 1 c'
_symmetry_Int_Tables_number 163
_symmetry_space_group_name_Hall '-P 3 2c'
loop_
_atom_site_label
_atom_site_type_symbol
_atom_site_fract_x
_atom_site_fract_y
_atom_site_fract_z
Sr1 Sr 0.0000 0.0000 0.0000
Pa1 Pa 0.3333 0.6667 0.2500
Ta1 Ta 0.3333 0.6667 0.7500
S1 S 0.0203 0.3828 0.6370



# BaRh3F, optimized geometry, DFT PBE-GGA
# excess energy over the best structure of this formula in the dataset = 6.71 eV per formula unit
# total DFT energy (no corrections) = -17.35 eV/f.u.
data_BaRh3F
_chemical_formula_sum 'Ba1 Rh3 F1'
_cell_length_a 5.254
_cell_length_b 5.254
_cell_length_c 5.254
_cell_angle_alpha 90.00
_cell_angle_beta 90.00
_cell_angle_gamma 90.00
_symmetry_space_group_name_H-M 'P m -3 m'
_symmetry_Int_Tables_number 221
_symmetry_space_group_name_Hall '-P 4 2 3'
loop_
_atom_site_label
_atom_site_type_symbol
_atom_site_fract_x
_atom_site_fract_y
_atom_site_fract_z
Ba1 Ba 0.000 0.000 0.000
Rh1 Rh 0.000 0.000 0.500
F1 F 0.500 0.500 0.500



# TmCuRhPb, optimized geometry, DFT PBE-GGA
# energy of formation from the pure elements = -1.40 eV/f.u.
# total DFT energy (no corrections) = -21.03 eV/f.u.
data_TmCuRhPb
_chemical_formula_sum 'Tm4 Cu4 Rh4 Pb4'
_cell_length_a 6.723
_cell_length_b 6.723
_cell_length_c 6.723
_cell_angle_alpha 90.00
_cell_angle_beta 90.00
_cell_angle_gamma 90.00
_symmetry_space_group_name_H-M 'F -4 3 m'
_symmetry_Int_Tables_number 216
_symmetry_space_group_name_Hall 'F -4 2 3'
loop_
_atom_site_label
_atom_site_type_symbol
_atom_site_fract_x
_atom_site_fract_y
_atom_site_fract_z
Tm1 Tm 0.000 0.000 0.000
Cu1 Cu 0.250 0.250 0.750
Rh1 Rh 0.250 0.250 0.250
Pb1 Pb 0.000 0.000 0.500



# Pr4Se3, optimized geometry, DFT PBE-GGA
# total DFT energy (no corrections) = -40.29 eV/f.u.
data_Pr4Se3
_chemical_formula_sum 'Pr12 Se9'
_cell_length_a 4.1832
_cell_length_b 4.1832
_cell_length_c 41.3980
_cell_angle_alpha 90.00
_cell_angle_beta 90.00
_cell_angle_gamma 120.00
_symmetry_space_group_name_H-M 'R -3 m'
_symmetry_Int_Tables_number 166
_symmetry_space_group_name_Hall '-R 3 2"'
loop_
_atom_site_label
_atom_site_type_symbol
_atom_site_fract_x
_atom_site_fract_y
_atom_site_fract_z
Pr1 Pr 0.0000 0.0000 0.1217
Pr2 Pr 0.0000 0.0000 0.3711
Se1 Se 0.0000 0.0000 0.2533
Se2 Se 0.0000 0.0000 0.5000



no.,V (Å³/cell),total moment (μB per formula unit)
1,489,0.00
2,145,2.68
3,304,0.00
4,627,0.00